The following is a PBE calculation of crystalline Cd3H4Rh2 at its relaxed geometry, from Alexandria.

Summary:
**Excess energy over the best structure of this formula in the dataset**: 0 meV/atom

Lattice parameters (Å, degrees): 5.3755 5.3755 7.3997 110.48 110.48 33.84
With the nearest neighbours (Å) after each atom.
Fractional coordinates of all 9 atoms:
Cd1 0.0000 0.0000 0.0000  4 H 2.54, 4 Rh 2.83
Cd2 0.3904 0.3904 0.2968  2 H 2.42
Cd3 0.6096 0.6096 0.7032  2 H 2.42
H1 0.1661 0.1661 0.4377  3 Rh 1.80-1.98
H2 0.2917 0.2917 0.8764  1 Rh 1.64
H3 0.7083 0.7083 0.1236  1 Rh 1.64
H4 0.8339 0.8339 0.5623  3 Rh 1.80-1.98
Rh1 0.3325 0.3325 0.6822  3 H 1.64-1.80
Rh2 0.6675 0.6675 0.3178  3 H 1.64-1.80